Arrangement A

Computed, not measured: a relaxed DyEr3Tm3 crystal at the PBE-GGA level of DFT.

The structure in CIF format:
```
data_DyEr3Tm3
_space_group_name_H-M_alt 'P 1'
_space_group_IT_number 1
_cell_length_a 14.384
_cell_length_b 14.384
_cell_length_c 14.384
_cell_angle_alpha 24.37
_cell_angle_beta 24.37
_cell_angle_gamma 24.37
loop_
_space_group_symop_operation_xyz
'x,y,z'
loop_
_atom_site_label
_atom_site_type_symbol
_atom_site_fract_x
_atom_site_fract_y
_atom_site_fract_z
Dy1 Dy 0.167 0.167 0.167
Dy2 Dy 0.833 0.833 0.833
Er1 Er 0.036 0.699 0.367
Er2 Er 0.301 0.633 0.964
Er3 Er 0.367 0.036 0.699
Er4 Er 0.633 0.964 0.301
Er5 Er 0.699 0.367 0.036
Er6 Er 0.964 0.301 0.633
Tm1 Tm 0.099 0.433 0.767
Tm2 Tm 0.233 0.901 0.567
Tm3 Tm 0.433 0.767 0.099
Tm4 Tm 0.567 0.233 0.901
Tm5 Tm 0.767 0.099 0.433
Tm6 Tm 0.901 0.567 0.233
```

Output
crystal system	trigonal

Arrangement B

Computed, not measured: a relaxed DyEr3Tm3 crystal at the PBE-GGA level of DFT.

The structure in CIF format:
```
data_DyEr3Tm3
_space_group_name_H-M_alt 'P 1'
_space_group_IT_number 1
_cell_length_a 9.443
_cell_length_b 9.443
_cell_length_c 5.553
_cell_angle_alpha 90.00
_cell_angle_beta 90.00
_cell_angle_gamma 120.00
loop_
_space_group_symop_operation_xyz
'x,y,z'
loop_
_atom_site_label
_atom_site_type_symbol
_atom_site_fract_x
_atom_site_fract_y
_atom_site_fract_z
Dy1 Dy 0.333 0.667 0.250
Dy2 Dy 0.667 0.333 0.750
Er1 Er 0.048 0.810 0.250
Er2 Er 0.190 0.238 0.250
Er3 Er 0.238 0.048 0.750
Er4 Er 0.762 0.952 0.250
Er5 Er 0.810 0.762 0.750
Er6 Er 0.952 0.190 0.750
Tm1 Tm 0.095 0.619 0.750
Tm2 Tm 0.381 0.476 0.750
Tm3 Tm 0.476 0.095 0.250
Tm4 Tm 0.524 0.905 0.750
Tm5 Tm 0.619 0.524 0.250
Tm6 Tm 0.905 0.381 0.250
```

Output
crystal system	hexagonal

Which is most stable, and by how much? arrangement B, by 142 meV/atom.

Arrangement A

Computed, not measured: a relaxed Dy4Er3Tm4 crystal at the PBE-GGA level of DFT.

The structure in CIF format:
```
data_Dy4Er3Tm4
_space_group_name_H-M_alt 'P 1'
_space_group_IT_number 1
_cell_length_a 3.471
_cell_length_b 5.525
_cell_length_c 17.824
_cell_angle_alpha 81.13
_cell_angle_beta 84.43
_cell_angle_gamma 89.99
loop_
_space_group_symop_operation_xyz
'x,y,z'
loop_
_atom_site_label
_atom_site_type_symbol
_atom_site_fract_x
_atom_site_fract_y
_atom_site_fract_z
Dy1 Dy 0.090 0.090 0.319
Dy2 Dy 0.233 0.733 0.034
Dy3 Dy 0.767 0.267 0.966
Dy4 Dy 0.910 0.910 0.681
Er1 Er 0.364 0.364 0.773
Er2 Er 0.500 0.000 0.500
Er3 Er 0.636 0.636 0.227
Tm1 Tm 0.045 0.545 0.409
Tm2 Tm 0.180 0.180 0.139
Tm3 Tm 0.820 0.820 0.861
Tm4 Tm 0.955 0.455 0.591
```

Output
crystal system	triclinic

Arrangement B

Computed, not measured: a relaxed Dy4Er3Tm4 crystal at the PBE-GGA level of DFT.

The structure in CIF format:
```
data_Dy4Er3Tm4
_space_group_name_H-M_alt 'P 1'
_space_group_IT_number 1
_cell_length_a 10.685
_cell_length_b 10.685
_cell_length_c 10.685
_cell_angle_alpha 161.13
_cell_angle_beta 117.79
_cell_angle_gamma 65.64
loop_
_space_group_symop_operation_xyz
'x,y,z'
loop_
_atom_site_label
_atom_site_type_symbol
_atom_site_fract_x
_atom_site_fract_y
_atom_site_fract_z
Dy1 Dy 0.219 0.219 0.000
Dy2 Dy 0.294 0.500 0.794
Dy3 Dy 0.706 0.500 0.206
Dy4 Dy 0.781 0.781 0.000
Er1 Er 0.000 0.000 0.000
Er2 Er 0.390 0.890 0.500
Er3 Er 0.610 0.110 0.500
Tm1 Tm 0.072 0.329 0.742
Tm2 Tm 0.413 0.671 0.742
Tm3 Tm 0.587 0.329 0.258
Tm4 Tm 0.928 0.671 0.258
```

Output
crystal system	orthorhombic

Which is most stable, and by how much? arrangement A, by 120 meV/atom.

Arrangement A

Computed, not measured: a relaxed DyEr4Tm crystal at the PBE-GGA level of DFT.

The structure in CIF format:
```
data_DyEr4Tm
_space_group_name_H-M_alt 'P 1'
_space_group_IT_number 1
_cell_length_a 3.457
_cell_length_b 5.526
_cell_length_c 9.548
_cell_angle_alpha 90.00
_cell_angle_beta 90.00
_cell_angle_gamma 90.00
loop_
_space_group_symop_operation_xyz
'x,y,z'
loop_
_atom_site_label
_atom_site_type_symbol
_atom_site_fract_x
_atom_site_fract_y
_atom_site_fract_z
Dy1 Dy 0.000 0.000 0.000
Er1 Er 0.500 0.000 0.334
Er2 Er 0.500 0.000 0.666
Er3 Er 0.500 0.500 0.168
Er4 Er 0.500 0.500 0.832
Tm1 Tm 0.000 0.500 0.500
```

Output
crystal system	orthorhombic

Arrangement B

Computed, not measured: a relaxed DyEr4Tm crystal at the PBE-GGA level of DFT.

The structure in CIF format:
```
data_DyEr4Tm
_space_group_name_H-M_alt 'P 1'
_space_group_IT_number 1
_cell_length_a 6.479
_cell_length_b 6.479
_cell_length_c 6.479
_cell_angle_alpha 60.00
_cell_angle_beta 60.00
_cell_angle_gamma 60.00
loop_
_space_group_symop_operation_xyz
'x,y,z'
loop_
_atom_site_label
_atom_site_type_symbol
_atom_site_fract_x
_atom_site_fract_y
_atom_site_fract_z
Dy1 Dy 0.000 0.000 0.000
Er1 Er 0.375 0.375 0.375
Er2 Er 0.375 0.375 0.875
Er3 Er 0.375 0.875 0.375
Er4 Er 0.875 0.375 0.375
Tm1 Tm 0.750 0.750 0.750
```

Output
crystal system	cubic

Arrangement C

Computed, not measured: a relaxed DyEr4Tm crystal at the PBE-GGA level of DFT.

The structure in CIF format:
```
data_DyEr4Tm
_space_group_name_H-M_alt 'P 1'
_space_group_IT_number 1
_cell_length_a 11.699
_cell_length_b 11.699
_cell_length_c 11.699
_cell_angle_alpha 152.38
_cell_angle_beta 41.16
_cell_angle_gamma 150.09
loop_
_space_group_symop_operation_xyz
'x,y,z'
loop_
_atom_site_label
_atom_site_type_symbol
_atom_site_fract_x
_atom_site_fract_y
_atom_site_fract_z
Dy1 Dy 0.000 0.000 0.000
Dy2 Dy 0.500 0.000 0.500
Er1 Er 0.092 0.924 0.168
Er2 Er 0.155 0.565 0.589
Er3 Er 0.255 0.924 0.332
Er4 Er 0.476 0.565 0.911
Er5 Er 0.524 0.435 0.089
Er6 Er 0.745 0.076 0.668
Er7 Er 0.845 0.435 0.411
Er8 Er 0.908 0.076 0.832
Tm1 Tm 0.328 0.578 0.750
Tm2 Tm 0.672 0.422 0.250
```

Output
crystal system	orthorhombic

Which is most stable, and by how much? arrangement C, by 11 meV/atom.

Arrangement A

Computed, not measured: a relaxed DyEr4Tm2 crystal at the PBE-GGA level of DFT.

The structure in CIF format:
```
data_DyEr4Tm2
_space_group_name_H-M_alt 'P 1'
_space_group_IT_number 1
_cell_length_a 8.397
_cell_length_b 8.397
_cell_length_c 8.590
_cell_angle_alpha 118.87
_cell_angle_beta 118.87
_cell_angle_gamma 23.93
loop_
_space_group_symop_operation_xyz
'x,y,z'
loop_
_atom_site_label
_atom_site_type_symbol
_atom_site_fract_x
_atom_site_fract_y
_atom_site_fract_z
Dy1 Dy 0.000 0.000 0.000
Er1 Er 0.296 0.296 0.706
Er2 Er 0.359 0.359 0.167
Er3 Er 0.641 0.641 0.833
Er4 Er 0.704 0.704 0.294
Tm1 Tm 0.070 0.070 0.430
Tm2 Tm 0.930 0.930 0.570
```

Output
crystal system	monoclinic

Arrangement B

Computed, not measured: a relaxed DyEr4Tm2 crystal at the PBE-GGA level of DFT.

The structure in CIF format:
```
data_DyEr4Tm2
_space_group_name_H-M_alt 'P 1'
_space_group_IT_number 1
_cell_length_a 6.062
_cell_length_b 6.439
_cell_length_c 11.342
_cell_angle_alpha 90.00
_cell_angle_beta 104.96
_cell_angle_gamma 90.00
loop_
_space_group_symop_operation_xyz
'x,y,z'
loop_
_atom_site_label
_atom_site_type_symbol
_atom_site_fract_x
_atom_site_fract_y
_atom_site_fract_z
Dy1 Dy 0.029 0.250 0.359
Dy2 Dy 0.971 0.750 0.641
Er1 Er 0.158 0.250 0.659
Er2 Er 0.290 0.750 0.928
Er3 Er 0.347 0.504 0.212
Er4 Er 0.347 0.996 0.212
Er5 Er 0.653 0.004 0.788
Er6 Er 0.653 0.496 0.788
Er7 Er 0.710 0.250 0.072
Er8 Er 0.842 0.750 0.341
Tm1 Tm 0.147 0.250 0.944
Tm2 Tm 0.394 0.750 0.503
Tm3 Tm 0.606 0.250 0.497
Tm4 Tm 0.853 0.750 0.056
```

Output
crystal system	monoclinic

Which is most stable, and by how much? arrangement A, by 105 meV/atom.

Arrangement A

Computed, not measured: a relaxed DyEr2Tm3 crystal at the PBE-GGA level of DFT.

The structure in CIF format:
```
data_DyEr2Tm3
_space_group_name_H-M_alt 'P 1'
_space_group_IT_number 1
_cell_length_a 8.887
_cell_length_b 8.887
_cell_length_c 13.924
_cell_angle_alpha 116.99
_cell_angle_beta 116.99
_cell_angle_gamma 22.39
loop_
_space_group_symop_operation_xyz
'x,y,z'
loop_
_atom_site_label
_atom_site_type_symbol
_atom_site_fract_x
_atom_site_fract_y
_atom_site_fract_z
Dy1 Dy 0.061 0.061 0.145
Dy2 Dy 0.939 0.939 0.855
Er1 Er 0.158 0.158 0.968
Er2 Er 0.319 0.319 0.616
Er3 Er 0.681 0.681 0.384
Er4 Er 0.842 0.842 0.032
Tm1 Tm 0.099 0.099 0.526
Tm2 Tm 0.240 0.240 0.793
Tm3 Tm 0.460 0.460 0.288
Tm4 Tm 0.540 0.540 0.712
Tm5 Tm 0.760 0.760 0.207
Tm6 Tm 0.901 0.901 0.474
```

Output
crystal system	monoclinic

Arrangement B

Computed, not measured: a relaxed DyEr2Tm3 crystal at the PBE-GGA level of DFT.

The structure in CIF format:
```
data_DyEr2Tm3
_space_group_name_H-M_alt 'P 1'
_space_group_IT_number 1
_cell_length_a 6.048
_cell_length_b 6.993
_cell_length_c 9.244
_cell_angle_alpha 67.86
_cell_angle_beta 89.97
_cell_angle_gamma 89.99
loop_
_space_group_symop_operation_xyz
'x,y,z'
loop_
_atom_site_label
_atom_site_type_symbol
_atom_site_fract_x
_atom_site_fract_y
_atom_site_fract_z
Dy1 Dy 0.250 0.125 0.000
Dy2 Dy 0.750 0.875 0.000
Er1 Er 0.083 0.208 0.334
Er2 Er 0.417 0.542 0.666
Er3 Er 0.583 0.458 0.334
Er4 Er 0.917 0.792 0.666
Tm1 Tm 0.083 0.708 0.334
Tm2 Tm 0.250 0.625 0.000
Tm3 Tm 0.417 0.042 0.666
Tm4 Tm 0.583 0.958 0.334
Tm5 Tm 0.750 0.375 0.000
Tm6 Tm 0.917 0.292 0.666
```

Output
crystal system	triclinic

Which is most stable, and by how much? arrangement B, by 96 meV/atom.